No. 1
{
  "formula": "Pm4Cu3Ni",
  "functional": "PBE",
  "state": "relaxed",
  "sg": "Pmm2",
  "ef_mev_per_atom": -237,
  "cell": [[3.856, 0.000, 0.000], [0.000, 4.467, 0.000], [0.000, 0.000, 10.546]],
  "species": ["Pm", "Pm", "Pm", "Pm", "Cu", "Cu", "Cu", "Ni"],
  "fractional_positions": [[0.000, 0.000, 0.000], [0.000, 0.500, 0.272], [0.500, 0.000, 0.486], [0.500, 0.500, 0.775], [0.000, 0.000, 0.699], [0.000, 0.500, 0.565], [0.500, 0.500, 0.066], [0.500, 0.000, 0.203]]
}

=====

No. 2
{
  "formula": "ReTcPd2",
  "functional": "PBE",
  "state": "relaxed",
  "sg": "F-43m",
  "ef_mev_per_atom": 302,
  "cell": [[0.000, 3.110, 3.110], [3.110, 0.000, 3.110], [3.110, 3.110, 0.000]],
  "species": ["Re", "Tc", "Pd", "Pd"],
  "fractional_positions": [[0.000, 0.000, 0.000], [0.750, 0.750, 0.750], [0.250, 0.250, 0.250], [0.500, 0.500, 0.500]]
}

=====

Q: Number 1 is which compound?
A: Pm4Cu3Ni